PuCd2Hg2O6 | PBE | relaxed

## Properties
E_tot: -0.4031 Ry per atom
spin magnetization: 1.213 μB per formula unit

Cell: 5.9356 5.9356 8.0351 Å, 103.27 103.27 122.43°
Last column: nearest neighbours and their distance in Å.
Positions (direct):
1 O 0.1625 0.1625 0.3370  1 Pu 1.93
2 O 0.8375 0.8375 0.6630  1 Pu 1.93
3 O 0.5846 0.8795 0.3416  1 Pu 2.11, 1 Cd 2.25
4 O 0.4154 0.1205 0.6584  1 Pu 2.11, 1 Cd 2.25
5 O 0.1205 0.4154 0.6584  1 Pu 2.11, 1 Cd 2.25
6 O 0.8795 0.5846 0.3416  1 Pu 2.11, 1 Cd 2.25
7 Cd 0.6704 0.3296 0.5000  6 O 2.25-2.48
8 Cd 0.3296 0.6704 0.5000  6 O 2.25-2.48
9 Pu 0.0000 0.0000 0.5000  6 O 1.93-2.11
10 Hg 0.2683 0.7317 0.0000  2 O 2.57
11 Hg 0.7317 0.2683 0.0000  2 O 2.57


PuCdHgO5 | PBE | relaxed

## Properties
E_tot: -0.4835 Ry per atom
spin magnetization: 2.000 μB per formula unit

Cell: 6.6716 6.6716 8.3153 Å, 107.33 107.33 114.29°
Last column: nearest neighbours and their distance in Å.
Positions (direct):
1 O 0.6530 0.0437 0.3984  1 Hg 2.10, 1 Cd 2.18
2 O 0.0494 0.9506 0.2500  2 Pu 2.15, 1 Cd 2.32
3 O 0.9563 0.3470 0.1016  1 Hg 2.10, 1 Cd 2.18
4 O 0.3410 0.1963 0.0993  1 Pu 1.83
5 O 0.9506 0.0494 0.7500  2 Pu 2.15, 1 Cd 2.32
6 O 0.3470 0.9563 0.6016  1 Hg 2.10, 1 Cd 2.18
7 O 0.6590 0.8037 0.9007  1 Pu 1.83
8 O 0.8037 0.6590 0.4007  1 Pu 1.83
9 O 0.0437 0.6530 0.8984  1 Hg 2.10, 1 Cd 2.18
10 O 0.1963 0.3410 0.5993  1 Pu 1.83
11 Hg 0.7638 0.2362 0.2500  2 O 2.10
12 Hg 0.2362 0.7638 0.7500  2 O 2.10
13 Cd 0.7440 0.2560 0.7500  3 O 2.18-2.32
14 Cd 0.2560 0.7440 0.2500  3 O 2.18-2.32
15 Pu 0.0000 0.0000 0.5000  2 O 1.83
16 Pu 0.0000 0.0000 0.0000  2 O 1.83


RbCdHgO2 | PBE | relaxed

## Properties
E_tot: -0.2297 Ry per atom
spin magnetization: 0.312 μB per formula unit

Cell: 5.8229 6.6692 6.4188 Å, 98.72 90.00 90.00°
Last column: nearest neighbours and their distance in Å.
Positions (direct):
1 O 0.6644 0.1944 0.5228  2 Cd 2.26-2.28, 1 Hg 2.34
2 O 0.3356 0.1944 0.0228  2 Cd 2.26-2.28, 1 Hg 2.34
3 O 0.6644 0.8056 0.9772  2 Cd 2.26-2.28, 1 Hg 2.34
4 O 0.3356 0.8056 0.4772  2 Cd 2.26-2.28, 1 Hg 2.34
5 Cd 0.4818 0.0000 0.2500  4 O 2.26-2.28
6 Cd 0.5182 0.0000 0.7500  4 O 2.26-2.28
7 Hg 0.0000 0.0000 0.0000  2 O 2.34
8 Hg 0.0000 0.0000 0.5000  2 O 2.34
9 Rb 0.3169 0.5000 0.7500  4 O 2.88-3.08
10 Rb 0.6831 0.5000 0.2500  4 O 2.88-3.08